Version w
Entry from OQMD via LeMat-Bulk: crystalline CsSmPd at its relaxed geometry (PBE).

Unit cell a=5.0498 b=5.0498 c=5.0498 alpha=60.00 beta=60.00 gamma=60.00
Fractional positions:
Cs 0.0000 0.0000 0.0000
Sm 0.2500 0.2500 0.2500
Pd 0.7500 0.7500 0.7500


Version x
Entry from OQMD via LeMat-Bulk: crystalline CsSmPd at its relaxed geometry (PBE).

Unit cell a=5.1068 b=5.1068 c=5.1068 alpha=60.00 beta=60.00 gamma=60.00
Fractional positions:
Cs 0.0000 0.0000 0.0000
Sm 0.2500 0.2500 0.2500
Pd 0.5000 0.5000 0.5000


Which of them is the least stable? Correct choice: version w.


Version w
Entry from OQMD via LeMat-Bulk: crystalline CsTcPd at its relaxed geometry (PBE).

Unit cell a=4.8320 b=4.8320 c=4.8320 alpha=60.00 beta=60.00 gamma=60.00
Fractional positions:
Cs 0.0000 0.0000 0.0000
Tc 0.2500 0.2500 0.2500
Pd 0.7500 0.7500 0.7500


Version x
Entry from OQMD via LeMat-Bulk: crystalline CsTcPd at its relaxed geometry (PBE).

Unit cell a=4.9941 b=4.9941 c=4.9941 alpha=60.00 beta=60.00 gamma=60.00
Fractional positions:
Cs 0.0000 0.0000 0.0000
Tc 0.5000 0.5000 0.5000
Pd 0.2500 0.2500 0.2500


Which of them is the least stable? Correct choice: version w.


Version w
Entry from OQMD via LeMat-Bulk: crystalline CsTmTe3Pd at its relaxed geometry (PBE).

Unit cell a=10.2461 b=4.3353 c=11.0028 alpha=90.00 beta=117.24 gamma=90.00
Fractional positions:
Cs 0.2371 0.2500 0.2574
Cs 0.7629 0.7500 0.7426
Tm 0.3147 0.7500 0.8582
Tm 0.6853 0.2500 0.1418
Te 0.1086 0.2500 0.8635
Te 0.1899 0.7500 0.5352
Te 0.4842 0.7500 0.1653
Te 0.5158 0.2500 0.8347
Te 0.8101 0.2500 0.4648
Te 0.8914 0.7500 0.1365
Pd 0.1017 0.2500 0.6155
Pd 0.8983 0.7500 0.3845


Version x
Entry from OQMD via LeMat-Bulk: crystalline CsTmTe3Pd at its relaxed geometry (PBE).

Unit cell a=9.5856 b=9.5856 c=10.2191 alpha=90.00 beta=90.00 gamma=153.49
Fractional positions:
Cs 0.2480 0.7520 0.7500
Cs 0.7520 0.2480 0.2500
Tm 0.0000 0.0000 0.0000
Tm 0.0000 0.0000 0.5000
Te 0.0874 0.9126 0.2500
Te 0.3927 0.6073 0.0785
Te 0.3927 0.6073 0.4215
Te 0.6073 0.3927 0.5785
Te 0.6073 0.3927 0.9215
Te 0.9126 0.0874 0.7500
Pd 0.4996 0.5004 0.2500
Pd 0.5004 0.4996 0.7500


Which of them is the least stable? Correct choice: version w.